Compound: HfTaV2Zn
Source: Alexandria via LeMat-Bulk
Functional: PBE
Structure: optimized geometry

Computed properties:
Crystal system = tetragonal
Uncorrected energy = -35.716 eV/cell

Cell and atoms, written as POSCAR:
```
HfTaV2Zn
1.0
4.533 0.000 0.000
0.000 4.533 0.000
0.000 0.000 4.782
Hf Ta V Zn
1 1 2 1
direct
0.000 0.000 0.000
0.500 0.500 0.000
0.000 0.500 0.500
0.500 0.000 0.500
0.500 0.500 0.500
```

Compound: HfTa14W
Source: Alexandria via LeMat-Bulk
Functional: PBE
Structure: optimized geometry

Computed properties:
Crystal system = orthorhombic
Uncorrected energy = -188.547 eV/cell

Cell and atoms, written as POSCAR:
```
HfTa14W
1.0
3.338 -4.688 0.000
3.338 4.688 0.000
0.000 0.000 9.381
Hf Ta W
1 14 1
direct
0.000 0.000 0.000
0.000 0.000 0.500
0.000 0.500 0.000
0.000 0.500 0.500
0.245 0.755 0.251
0.245 0.755 0.749
0.260 0.260 0.250
0.260 0.260 0.750
0.500 0.000 0.000
0.500 0.000 0.500
0.500 0.500 0.500
0.740 0.740 0.250
0.740 0.740 0.750
0.755 0.245 0.251
0.755 0.245 0.749
0.500 0.500 0.000
```

Compound: HfTaW3
Source: Alexandria via LeMat-Bulk
Functional: PBE
Structure: optimized geometry

Computed properties:
Crystal system = cubic
Offset from the most stable computed form = 0 meV per atom

Cell and atoms, written as POSCAR:
```
HfTaW3
1.0
4.777 0.000 0.000
0.000 4.777 0.000
0.000 0.000 4.777
Hf Ta W
1 1 3
direct
0.000 0.000 0.000
0.500 0.500 0.500
0.000 0.500 0.500
0.500 0.000 0.500
0.500 0.500 0.000
```

Compound: HfTaW
Source: Alexandria via LeMat-Bulk
Functional: PBE
Structure: optimized geometry

Computed properties:
Crystal system = orthorhombic
Offset from the most stable computed form = 13 meV per atom

Cell and atoms, written as POSCAR:
```
HfTaW
1.0
8.946 0.000 0.000
0.000 2.740 4.687
0.000 -2.740 4.687
Hf Ta W
4 4 4
direct
0.182 0.000 0.000
0.307 0.666 0.666
0.693 0.666 0.666
0.818 0.000 0.000
0.247 0.331 0.331
0.500 0.164 0.674
0.500 0.674 0.164
0.753 0.331 0.331
0.000 0.503 0.503
0.000 0.504 0.990
0.000 0.990 0.504
0.500 0.165 0.165
```

Compound: HfTaW
Source: Alexandria via LeMat-Bulk
Functional: PBE
Structure: optimized geometry

Computed properties:
Crystal system = orthorhombic
Offset from the most stable computed form = 0 meV per atom

Cell and atoms, written as POSCAR:
```
HfTaW
1.0
-2.685 2.784 3.845
2.685 -2.784 3.845
2.685 2.784 -3.845
Hf Ta W
2 2 2
direct
0.374 0.124 0.250
0.626 0.876 0.750
0.000 0.500 0.500
0.500 0.500 0.000
0.000 0.000 0.500
0.000 0.500 0.000
```

Compound: HfTa5W6
Source: Alexandria via LeMat-Bulk
Functional: PBE
Structure: optimized geometry

Computed properties:
Crystal system = orthorhombic
Uncorrected energy = -147.599 eV/cell

Cell and atoms, written as POSCAR:
```
HfTa5W6
1.0
-2.298 3.261 6.908
2.298 -3.261 6.908
2.298 3.261 -6.908
Hf Ta W
1 5 6
direct
0.000 0.000 0.000
0.166 0.666 0.500
0.333 0.333 0.000
0.500 0.000 0.500
0.667 0.667 0.000
0.834 0.334 0.500
0.084 0.831 0.253
0.255 0.500 0.755
0.421 0.169 0.253
0.579 0.831 0.747
0.745 0.500 0.245
0.916 0.169 0.747
```

Compound: HfTaW
Source: Alexandria via LeMat-Bulk
Functional: PBE
Structure: optimized geometry

Computed properties:
Crystal system = tetragonal
Offset from the most stable computed form = 114 meV per atom

Cell and atoms, written as POSCAR:
```
HfTaW
1.0
-1.661 1.661 5.067
1.661 -1.661 5.067
1.661 1.661 -5.067
Hf Ta W
1 1 1
direct
0.000 0.000 0.000
0.311 0.311 0.000
0.672 0.672 0.000
```

Compound: HfTaW2
Source: Alexandria via LeMat-Bulk
Functional: PBE
Structure: optimized geometry

Computed properties:
Crystal system = tetragonal
Uncorrected energy = -47.570 eV/cell

Cell and atoms, written as POSCAR:
```
HfTaW2
1.0
3.273 0.000 0.000
0.000 3.273 0.000
0.000 0.000 6.632
Hf Ta W
1 1 2
direct
0.000 0.000 0.000
0.000 0.000 0.500
0.500 0.500 0.262
0.500 0.500 0.738
```

Compound: HfTaW2
Source: Alexandria via LeMat-Bulk
Functional: PBE
Structure: optimized geometry

Computed properties:
Crystal system = tetragonal
Uncorrected energy = -88.631 eV/cell

Cell and atoms, written as POSCAR:
```
HfTaW2
1.0
-3.713 3.713 2.794
3.713 -3.713 2.794
3.713 3.713 -2.794
Hf Ta W
2 2 4
direct
0.000 0.000 0.000
0.750 0.250 0.500
0.250 0.750 0.500
0.500 0.500 0.000
0.140 0.625 0.015
0.375 0.390 0.515
0.610 0.125 0.985
0.875 0.860 0.485
```

Compound: HfTa2W2
Source: Alexandria via LeMat-Bulk
Functional: PBE
Structure: optimized geometry

Computed properties:
Crystal system = tetragonal
Offset from the most stable computed form = 0 meV per atom

Cell and atoms, written as POSCAR:
```
HfTa2W2
1.0
8.160 0.000 0.000
0.000 8.160 0.000
0.000 0.000 2.861
Hf Ta W
2 4 4
direct
0.000 0.000 0.000
0.500 0.500 0.000
0.143 0.357 0.000
0.357 0.857 0.000
0.643 0.143 0.000
0.857 0.643 0.000
0.158 0.658 0.500
0.342 0.158 0.500
0.658 0.842 0.500
0.842 0.342 0.500
```

Compound: HfTa2W2
Source: Alexandria via LeMat-Bulk
Functional: PBE
Structure: optimized geometry

Computed properties:
Crystal system = tetragonal
Offset from the most stable computed form = 275 meV per atom

Cell and atoms, written as POSCAR:
```
HfTa2W2
1.0
-1.932 1.932 6.698
1.932 -1.932 6.698
1.932 1.932 -6.698
Hf Ta W
1 2 2
direct
0.000 0.000 0.000
0.395 0.395 0.000
0.605 0.605 0.000
0.250 0.750 0.500
0.750 0.250 0.500
```

Compound: HfTa2W4
Source: Alexandria via LeMat-Bulk
Functional: PBE
Structure: optimized geometry

Computed properties:
Crystal system = tetragonal
Uncorrected energy = -71.796 eV/cell

Cell and atoms, written as POSCAR:
```
HfTa2W4
1.0
-2.364 2.364 6.689
2.364 -2.364 6.689
2.364 2.364 -6.689
Hf Ta W
1 2 4
direct
0.000 0.000 0.000
0.381 0.381 0.000
0.619 0.619 0.000
0.000 0.500 0.500
0.193 0.193 0.000
0.500 0.000 0.500
0.807 0.807 0.000
```

Compound: HfTa6W2
Source: Alexandria via LeMat-Bulk
Functional: PBE
Structure: optimized geometry

Computed properties:
Crystal system = monoclinic
Uncorrected energy = -107.197 eV/cell

Cell and atoms, written as POSCAR:
```
HfTa6W2
1.0
5.246 -1.639 0.000
5.246 1.639 0.000
-3.224 0.000 9.481
Hf Ta W
1 6 2
direct
0.000 0.000 0.000
0.006 0.006 0.332
0.322 0.322 0.118
0.332 0.332 0.438
0.668 0.668 0.562
0.678 0.678 0.882
0.994 0.994 0.668
0.330 0.330 0.771
0.670 0.670 0.229
```

Compound: YHfTaW2
Source: Alexandria via LeMat-Bulk
Functional: PBE
Structure: optimized geometry

Computed properties:
Crystal system = tetragonal
Uncorrected energy = -47.511 eV/cell

Cell and atoms, written as POSCAR:
```
YHfTaW2
1.0
4.878 0.000 0.000
0.000 4.878 0.000
0.000 0.000 5.052
Y Hf Ta W
1 1 1 2
direct
0.000 0.000 0.000
0.500 0.500 0.000
0.500 0.500 0.500
0.000 0.500 0.500
0.500 0.000 0.500
```

Compound: YHfTa2
Source: Alexandria via LeMat-Bulk
Functional: PBE
Structure: optimized geometry

Computed properties:
Crystal system = cubic
Offset from the most stable computed form = 0 meV per atom

Cell and atoms, written as POSCAR:
```
YHfTa2
1.0
0.000 3.505 3.505
3.505 0.000 3.505
3.505 3.505 0.000
Y Hf Ta
1 1 2
direct
0.000 0.000 0.000
0.500 0.500 0.500
0.250 0.250 0.250
0.750 0.750 0.750
```

Compound: YHf2Ta2
Source: Alexandria via LeMat-Bulk
Functional: PBE
Structure: optimized geometry

Computed properties:
Crystal system = tetragonal
Offset from the most stable computed form = 165 meV per atom

Cell and atoms, written as POSCAR:
```
YHf2Ta2
1.0
-2.130 2.130 6.505
2.130 -2.130 6.505
2.130 2.130 -6.505
Y Hf Ta
1 2 2
direct
0.000 0.000 0.000
0.250 0.750 0.500
0.750 0.250 0.500
0.403 0.403 0.000
0.597 0.597 0.000
```

Compound: YHf2Ta2
Source: Alexandria via LeMat-Bulk
Functional: PBE
Structure: optimized geometry

Computed properties:
Crystal system = tetragonal
Offset from the most stable computed form = 71 meV per atom

Cell and atoms, written as POSCAR:
```
YHf2Ta2
1.0
8.327 0.000 0.000
0.000 8.327 0.000
0.000 0.000 3.267
Y Hf Ta
2 4 4
direct
0.000 0.000 0.000
0.500 0.500 0.000
0.144 0.356 0.000
0.356 0.856 0.000
0.644 0.144 0.000
0.856 0.644 0.000
0.141 0.641 0.500
0.359 0.141 0.500
0.641 0.859 0.500
0.859 0.359 0.500
```

Compound: YHf3Ta
Source: Alexandria via LeMat-Bulk
Functional: PBE
Structure: optimized geometry

Computed properties:
Crystal system = cubic
Offset from the most stable computed form = 0 meV per atom

Cell and atoms, written as POSCAR:
```
YHf3Ta
1.0
5.156 0.000 0.000
0.000 5.156 0.000
0.000 0.000 5.156
Y Hf Ta
1 3 1
direct
0.000 0.000 0.000
0.000 0.500 0.500
0.500 0.000 0.500
0.500 0.500 0.000
0.500 0.500 0.500
```

Compound: YHf3Ta
Source: Alexandria via LeMat-Bulk
Functional: PBE
Structure: optimized geometry

Computed properties:
Crystal system = cubic
Offset from the most stable computed form = 1106 meV per atom

Cell and atoms, written as POSCAR:
```
YHf3Ta
1.0
5.009 0.000 0.000
0.000 5.009 0.000
0.000 0.000 5.009
Y Hf Ta
1 3 1
direct
0.000 0.000 0.000
0.000 0.000 0.500
0.000 0.500 0.000
0.500 0.000 0.000
0.500 0.500 0.500
```

Compound: Y3HfTa
Source: Alexandria via LeMat-Bulk
Functional: PBE
Structure: optimized geometry

Computed properties:
Crystal system = cubic
Offset from the most stable computed form = 0 meV per atom

Cell and atoms, written as POSCAR:
```
Y3HfTa
1.0
5.407 0.000 0.000
0.000 5.407 0.000
0.000 0.000 5.407
Y Hf Ta
3 1 1
direct
0.000 0.000 0.500
0.000 0.500 0.000
0.500 0.000 0.000
0.500 0.500 0.500
0.000 0.000 0.000
```

Compound: YHf2Ta2
Source: Alexandria via LeMat-Bulk
Functional: PBE
Structure: optimized geometry

Computed properties:
Crystal system = tetragonal
Offset from the most stable computed form = 0 meV per atom

Cell and atoms, written as POSCAR:
```
YHf2Ta2
1.0
8.255 0.000 0.000
0.000 8.255 0.000
0.000 0.000 3.346
Y Hf Ta
2 4 4
direct
0.000 0.000 0.000
0.500 0.500 0.000
0.176 0.324 0.500
0.324 0.824 0.500
0.676 0.176 0.500
0.824 0.676 0.500
0.117 0.617 0.000
0.383 0.117 0.000
0.617 0.883 0.000
0.883 0.383 0.000
```

Compound: YHfTa2
Source: Alexandria via LeMat-Bulk
Functional: PBE
Structure: optimized geometry

Computed properties:
Crystal system = tetragonal
Offset from the most stable computed form = 446 meV per atom

Cell and atoms, written as POSCAR:
```
YHfTa2
1.0
-3.928 3.928 2.943
3.928 -3.928 2.943
3.928 3.928 -2.943
Y Hf Ta
2 2 4
direct
0.000 0.000 0.000
0.750 0.250 0.500
0.250 0.750 0.500
0.500 0.500 0.000
0.137 0.625 0.012
0.375 0.387 0.512
0.613 0.125 0.988
0.875 0.863 0.488
```

Compound: YHf2TaZn
Source: Alexandria via LeMat-Bulk
Functional: PBE
Structure: optimized geometry

Computed properties:
Crystal system = tetragonal
Uncorrected energy = -34.378 eV/cell

Cell and atoms, written as POSCAR:
```
YHf2TaZn
1.0
5.094 0.000 0.000
0.000 5.094 0.000
0.000 0.000 5.502
Y Hf Ta Zn
1 2 1 1
direct
0.000 0.000 0.000
0.000 0.500 0.500
0.500 0.000 0.500
0.000 0.000 0.500
0.500 0.500 0.000
```

Compound: YHfZrTa2
Source: Alexandria via LeMat-Bulk
Functional: PBE
Structure: optimized geometry

Computed properties:
Crystal system = tetragonal
Uncorrected energy = -41.200 eV/cell

Cell and atoms, written as POSCAR:
```
YHfZrTa2
1.0
4.973 0.000 0.000
0.000 4.973 0.000
0.000 0.000 5.192
Y Hf Zr Ta
1 1 1 2
direct
0.000 0.000 0.000
0.500 0.500 0.000
0.000 0.000 0.500
0.000 0.500 0.500
0.500 0.000 0.500
```

Compound: HfTa3Zn
Source: Alexandria via LeMat-Bulk
Functional: PBE
Structure: optimized geometry

Computed properties:
Crystal system = cubic
Offset from the most stable computed form = 830 meV per atom

Cell and atoms, written as POSCAR:
```
HfTa3Zn
1.0
4.908 0.000 0.000
0.000 4.908 0.000
0.000 0.000 4.908
Hf Ta Zn
1 3 1
direct
0.000 0.000 0.000
0.000 0.000 0.500
0.000 0.500 0.000
0.500 0.000 0.000
0.500 0.500 0.500
```

Compound: HfTa2Zn2
Source: Alexandria via LeMat-Bulk
Functional: PBE
Structure: optimized geometry

Computed properties:
Crystal system = tetragonal
Offset from the most stable computed form = 358 meV per atom

Cell and atoms, written as POSCAR:
```
HfTa2Zn2
1.0
-1.946 1.946 6.310
1.946 -1.946 6.310
1.946 1.946 -6.310
Hf Ta Zn
1 2 2
direct
0.000 0.000 0.000
0.400 0.400 0.000
0.600 0.600 0.000
0.250 0.750 0.500
0.750 0.250 0.500
```

Calculated size of the total moment, 3.1 0.0 0.0 0.0 0.0 0.0 0.0 0.0 0.0 0.0 0.0 0.0 0.0 0.0 0.0 0.0 0.0 0.0 0.0 0.9 0.0 0.0 0.0 0.0 0.0 0.0 μB/cell (same order as the records).